4
Lattice="5.650 -0.002 0.000 2.590 5.021 0.000 -3.536 -3.469 2.718" Properties=species:S:1:pos:R:3 comment="YTaW2 PBE relaxed" polymorph_energy_ev_per_atom=0.095 spacegroup="Imm2 (44)" n_ef_per_ev_cell=4.31 formation_enthalpy_0k_mev_per_atom=402 volume_a3_per_fu=77 total_magnetization_mub_per_cell=0.00 pbc="T T T"
W 8.130 4.952 0.000
W 3.308 -0.364 1.359
Ta 1.464 1.956 1.359
Y 4.162 2.535 0.000


4
Lattice="2.885 0.000 0.000 0.000 5.123 0.000 0.000 0.000 4.795" Properties=species:S:1:pos:R:3 comment="Tc2HgCl PBE relaxed" e_form_raw_kj_per_mol_atoms=85.6 polymorph_energy_ev_per_atom=0.828 spacegroup="Pmmm (47)" n_ef_per_ev_cell=3.49 volume_a3_per_fu=71 total_magnetization_mub_per_cell=0.88 pbc="T T T"
Tc 1.442 2.562 0.000
Tc 0.000 0.000 0.000
Cl 1.442 0.000 2.397
Hg 0.000 2.562 2.397


9
Lattice="-4.748 -0.347 2.094 0.809 -2.809 -5.091 1.978 -8.741 3.034" Properties=species:S:1:pos:R:3 comment="Nd6TlRu2 PBE relaxed" polymorph_energy_ev_per_atom=0.058 spacegroup="C2/m (12)" n_ef_per_ev_cell=7.54 formation_enthalpy_0k_mev_per_atom=-192 volume_a3_per_fu=253 total_magnetization_mub_per_cell=0.00 pbc="T T T"
Nd -1.669 -6.584 1.581
Nd -2.159 -10.374 -0.157
Nd 0.736 -9.094 0.160
Nd 0.197 -1.524 0.194
Nd -0.292 -5.313 -1.544
Nd -2.698 -2.803 -0.123
Ru -0.950 -8.769 2.850
Ru -1.012 -3.128 -2.813
Tl 0.989 -4.371 1.517


Which formula does entry 2 have? Tc2HgCl